# 1
GGA-PBE YGaAsSe2, optimized geometry; SG = P4/mmm, No. 123; formation energy (no corrections) = -94 kJ/mol of formula units
1.0
5.487 0.000 0.000
0.000 5.487 0.000
0.000 0.000 5.542
Y Ga As Se
1 1 1 2
Cartesian
0.000 0.000 0.000
2.744 2.744 2.771
0.000 0.000 2.771
0.000 2.744 0.000
2.744 0.000 0.000



# 2
GGA-PBE DyY2Mg6, optimized geometry; ΔH_f (0 K) = -7 kJ/mol of atoms; SG = C2/m, No. 12
1.0
7.842 -4.525 0.000
7.842 4.525 0.000
-0.010 0.000 3.318
Dy Y Mg
1 2 6
Cartesian
0.000 0.000 0.000
5.218 0.000 3.318
10.455 0.000 0.000
10.450 -3.016 1.660
5.223 3.016 1.658
10.450 3.016 1.660
7.837 1.510 1.659
5.223 -3.016 1.658
7.837 -1.510 1.659



# 3
GGA-PBE ZrReAs2, optimized geometry; ΔH_f (0 K) = -16 kJ/mol of atoms; SG = P4mm, No. 99
1.0
3.165 0.000 0.000
0.000 3.165 0.000
0.000 0.000 8.061
Zr Re As
1 1 2
Cartesian
0.000 0.000 0.000
1.583 1.583 6.206
0.000 0.000 4.938
1.583 1.583 1.910



Table of density of states at the Fermi level (states/eV per atom), in record order: 0.76 0.89 0.80
Table of E (eV/atom), in record order: -4.416 -3.087 -7.742